No. 1
The following is a DFT calculation (PBE-GGA) of an optimized crystal structure of Tb5BiSb4.

POSCAR file:
```
Tb5BiSb4
1.0
-2.2090 3.1233 11.0456
2.2090 -3.1233 11.0456
2.2090 3.1233 -11.0456
Tb Bi Sb
5 1 4
direct
0.0000 0.0000 0.0000
0.1996 0.1996 0.0000
0.3974 0.3974 0.0000
0.6026 0.6026 0.0000
0.8004 0.8004 0.0000
0.5000 0.0000 0.5000
0.1000 0.6000 0.5000
0.2990 0.7990 0.5000
0.7010 0.2010 0.5000
0.9000 0.4000 0.5000
```

Output
**Volume**: 30.5 Å³ per atom
**Electronic total energy**: -5.4467 eV per atom

***

No. 2
The following is a DFT calculation (PBE-GGA) of an optimized crystal structure of CeNbSi2Rh.

POSCAR file:
```
CeNbSi2Rh
1.0
4.1196 0.0000 0.0000
0.0000 4.1196 0.0000
0.0000 0.0000 10.8181
Ce Nb Si Rh
2 2 4 2
direct
0.0000 0.0000 0.0000
0.5000 0.5000 0.5000
0.0000 0.5000 0.7500
0.5000 0.0000 0.2500
0.0000 0.0000 0.3883
0.0000 0.0000 0.6117
0.5000 0.5000 0.1117
0.5000 0.5000 0.8883
0.0000 0.5000 0.2500
0.5000 0.0000 0.7500
```

Output
**Volume**: 18.4 Å³ per atom
**Electronic total energy**: -7.5669 eV per atom

***

No. 3
The following is a DFT calculation (PBE-GGA) of an optimized crystal structure of Tb4Er3Tm2.

POSCAR file:
```
Tb4Er3Tm2
1.0
7.9962 -5.7432 0.0000
7.9962 5.7432 0.0000
-0.6268 0.0000 6.0451
Tb Er Tm
8 6 4
direct
0.0959 0.8114 0.9870
0.1445 0.4314 0.1545
0.1886 0.9041 0.5130
0.4314 0.1445 0.6545
0.5686 0.8555 0.3455
0.8114 0.0959 0.4870
0.8555 0.5686 0.8455
0.9041 0.1886 0.0130
0.0708 0.2643 0.5781
0.2643 0.0708 0.0781
0.4032 0.5968 0.2500
0.5968 0.4032 0.7500
0.7357 0.9292 0.9219
0.9292 0.7357 0.4219
0.2403 0.5215 0.6818
0.4785 0.7597 0.8182
0.5215 0.2403 0.1818
0.7597 0.4785 0.3182
```

Output
**Energy relative to the lowest polymorph listed for this composition**: 0.00 kJ per mole of atoms
**Volume**: 30.8 Å³ per atom
**Electronic total energy**: -4.4738 eV per atom
**ΔH_f (0 K)**: 0.099 eV per atom

***

No. 4
The following is a DFT calculation (PBE-GGA) of an optimized crystal structure of TlAg2Se2.

POSCAR file:
```
TlAg2Se2
1.0
4.4221 0.0000 0.0000
0.0000 4.4221 0.0000
0.0000 0.0000 12.7216
Tl Ag Se
2 4 4
direct
0.0000 0.0000 0.0000
0.5000 0.5000 0.5000
0.0000 0.5000 0.2500
0.0000 0.5000 0.7500
0.5000 0.0000 0.2500
0.5000 0.0000 0.7500
0.0000 0.0000 0.3755
0.0000 0.0000 0.6245
0.5000 0.5000 0.1245
0.5000 0.5000 0.8755
```

Output
**Energy relative to the lowest polymorph listed for this composition**: 0.00 kJ per mole of atoms
**Volume**: 24.9 Å³ per atom
**Electronic total energy**: -3.1400 eV per atom

***

No. 5
The following is a DFT calculation (PBE-GGA) of an optimized crystal structure of PPtI2N.

POSCAR file:
```
PPtI2N
1.0
5.6768 0.0000 0.0000
0.0000 5.6768 0.0000
0.0000 0.0000 3.7131
P Pt I N
1 1 2 1
direct
0.0000 0.0000 0.0000
0.5000 0.5000 0.5000
0.0000 0.5000 0.5000
0.5000 0.0000 0.5000
0.5000 0.5000 0.0000
```

Output
**Energy relative to the lowest polymorph listed for this composition**: 5.61 kJ per mole of atoms
**Volume**: 23.9 Å³ per atom
**Electronic total energy**: -3.6429 eV per atom

***

No. 6
The following is a DFT calculation (PBE-GGA) of an optimized crystal structure of PrCd2Pb2.

POSCAR file:
```
PrCd2Pb2
1.0
2.3221 -12.4219 0.0000
2.3221 12.4219 0.0000
0.0000 0.0000 4.6959
Pr Cd Pb
2 4 4
direct
0.1437 0.8563 0.7500
0.8563 0.1437 0.2500
0.0389 0.9611 0.2500
0.4579 0.5421 0.2500
0.5421 0.4579 0.7500
0.9611 0.0389 0.7500
0.2494 0.7506 0.2500
0.3686 0.6314 0.7500
0.6314 0.3686 0.2500
0.7506 0.2494 0.7500
```

Output
**Volume**: 27.1 Å³ per atom
**Electronic total energy**: -3.1067 eV per atom
**ΔH_f (0 K)**: -0.301 eV per atom

***

Which of these has the highest volume?
Tb4Er3Tm2

***

The lowest volume belongs to which entry?
CeNbSi2Rh

***

Among the records above, which one has the highest electronic total energy?
PrCd2Pb2

***

The lowest volume belongs to which entry?
CeNbSi2Rh